## TmCd5Hg5 (PBE)

Data for a relaxed TmCd5Hg5 crystal.

Summary:
spin magnetization: 0.00 μB per atom
calculated volume: 25.13 A^3/atom
symmetry: P-1, No. 2
formation energy: -0.072 eV/atom
electronic total energy: -1.031 eV per atom

a b c (Å): 6.3124 8.0782 6.4621
angles (deg): 99.86 81.12 121.34
Closest atoms and distances in Å follow each position.
Positions (direct):
Hg 0.4274 0.3388 0.2519  5 Cd 3.03-3.29, 2 Hg 3.08-3.15, 1 Tm 3.09
Hg 0.5000 0.0000 0.0000  4 Cd 3.05-3.26, 4 Hg 3.15-3.20, 2 Tm 3.16
Hg 0.0245 0.3415 0.8276  6 Cd 3.07-3.39, 1 Tm 3.07, 3 Hg 3.08-3.21
Hg 0.9755 0.6585 0.1724  6 Cd 3.07-3.39, 1 Tm 3.07, 3 Hg 3.08-3.21
Hg 0.5726 0.6612 0.7481  5 Cd 3.03-3.29, 2 Hg 3.08-3.15, 1 Tm 3.09
Cd 0.5047 0.2573 0.7021  2 Cd 3.02-3.11, 4 Hg 3.03-3.25, 1 Tm 3.28
Cd 0.1052 0.7021 0.6534  3 Cd 3.02-3.23, 6 Hg 3.07-3.36, 1 Tm 3.26
Cd 0.4953 0.7427 0.2979  2 Cd 3.02-3.11, 4 Hg 3.03-3.25, 1 Tm 3.28
Cd 0.8948 0.2979 0.3466  3 Cd 3.02-3.23, 6 Hg 3.07-3.36, 1 Tm 3.26
Cd 0.0000 0.0000 0.5000  4 Cd 3.11-3.15, 4 Hg 3.13, 2 Tm 3.23
Tm 0.0000 0.0000 0.0000  6 Hg 3.07-3.16, 6 Cd 3.23-3.28

***

## SnBiMo (PBE)

Data for a relaxed SnBiMo crystal.

Summary:
spin magnetization: 0.00 μB per atom
calculated volume: 24.54 A^3/atom
symmetry: Cmcm, No. 63
formation energy: 0.263 eV/atom
electronic total energy: -5.976 eV per atom

a b c (Å): 4.5975 18.7825 3.4102
angles (deg): 90.00 90.00 90.00
Closest atoms and distances in Å follow each position.
Positions (direct):
Bi 0.0000 0.7073 0.7500  1 Mo 2.94, 4 Bi 3.28
Bi 0.5000 0.7927 0.2500  1 Mo 2.94, 4 Bi 3.28
Bi 0.5000 0.2073 0.7500  1 Mo 2.94, 4 Bi 3.28
Bi 0.0000 0.2927 0.2500  1 Mo 2.94, 4 Bi 3.28
Mo 0.0000 0.5509 0.7500  2 Mo 2.56
Mo 0.5000 0.0509 0.7500  2 Mo 2.56
Mo 0.0000 0.4491 0.2500  2 Mo 2.56
Mo 0.5000 0.9491 0.2500  2 Mo 2.56
Sn 0.0000 0.9249 0.7500  4 Mo 2.90
Sn 0.5000 0.4249 0.7500  4 Mo 2.90
Sn 0.5000 0.5751 0.2500  4 Mo 2.90
Sn 0.0000 0.0751 0.2500  4 Mo 2.90

***

## La2SO (PBE)

Data for a relaxed La2SO crystal.

Summary:
spin magnetization: 0.00 μB per atom
calculated volume: 19.65 A^3/atom
symmetry: Fm-3m, No. 225
raw formation energy: -1.897 eV/atom
electronic total energy: -6.632 eV per atom

a b c (Å): 4.8083 4.8083 4.8083
angles (deg): 60.00 60.00 60.00
Closest atoms and distances in Å follow each position.
Positions (direct):
La 0.2500 0.2500 0.2500  4 S 2.94, 4 O 2.94
La 0.7500 0.7500 0.7500  4 S 2.94, 4 O 2.94
O 0.0000 0.0000 0.0000  8 La 2.94
S 0.5000 0.5000 0.5000  8 La 2.94

***

## Pr2TcC2 (PBE)

Data for a relaxed Pr2TcC2 crystal.

Summary:
spin magnetization: 0.00 μB per atom
calculated volume: 18.78 A^3/atom
symmetry: C2/m, No. 12
formation energy: -0.158 eV/atom
electronic total energy: -7.832 eV per atom

a b c (Å): 5.4223 6.3970 6.9653
angles (deg): 62.10 67.09 64.92
Closest atoms and distances in Å follow each position.
Positions (direct):
Tc 0.6351 0.8608 0.8689  3 C 1.93-2.08
Tc 0.3649 0.1392 0.1311  3 C 1.93-2.08
Pr 0.6817 0.2656 0.3710  5 C 2.59-2.82
Pr 0.3183 0.7344 0.6290  5 C 2.59-2.82
Pr 0.9649 0.2846 0.7855  4 C 2.52-2.73
Pr 0.0351 0.7154 0.2145  4 C 2.52-2.73
C 0.4940 0.2252 0.7868  2 Tc 1.98-2.08
C 0.5060 0.7748 0.2132  2 Tc 1.98-2.08
C 0.8153 0.7517 0.6177  1 Tc 1.93
C 0.1847 0.2483 0.3823  1 Tc 1.93

***

Copy entry 1 word for word.
## TmCd5Hg5 (PBE)

Data for a relaxed TmCd5Hg5 crystal.

Summary:
spin magnetization: 0.00 μB per atom
calculated volume: 25.13 A^3/atom
symmetry: P-1, No. 2
formation energy: -0.072 eV/atom
electronic total energy: -1.031 eV per atom

a b c (Å): 6.3124 8.0782 6.4621
angles (deg): 99.86 81.12 121.34
Closest atoms and distances in Å follow each position.
Positions (direct):
Hg 0.4274 0.3388 0.2519  5 Cd 3.03-3.29, 2 Hg 3.08-3.15, 1 Tm 3.09
Hg 0.5000 0.0000 0.0000  4 Cd 3.05-3.26, 4 Hg 3.15-3.20, 2 Tm 3.16
Hg 0.0245 0.3415 0.8276  6 Cd 3.07-3.39, 1 Tm 3.07, 3 Hg 3.08-3.21
Hg 0.9755 0.6585 0.1724  6 Cd 3.07-3.39, 1 Tm 3.07, 3 Hg 3.08-3.21
Hg 0.5726 0.6612 0.7481  5 Cd 3.03-3.29, 2 Hg 3.08-3.15, 1 Tm 3.09
Cd 0.5047 0.2573 0.7021  2 Cd 3.02-3.11, 4 Hg 3.03-3.25, 1 Tm 3.28
Cd 0.1052 0.7021 0.6534  3 Cd 3.02-3.23, 6 Hg 3.07-3.36, 1 Tm 3.26
Cd 0.4953 0.7427 0.2979  2 Cd 3.02-3.11, 4 Hg 3.03-3.25, 1 Tm 3.28
Cd 0.8948 0.2979 0.3466  3 Cd 3.02-3.23, 6 Hg 3.07-3.36, 1 Tm 3.26
Cd 0.0000 0.0000 0.5000  4 Cd 3.11-3.15, 4 Hg 3.13, 2 Tm 3.23
Tm 0.0000 0.0000 0.0000  6 Hg 3.07-3.16, 6 Cd 3.23-3.28